Entry from Alexandria: an optimized crystal structure of HoZr2Tl (PBE).

Cell lengths 4.604, 4.573, 4.573 Å; angles 90.00, 90.00, 90.00 degrees
Fractional positions:
Ho  0.500  0.500  0.500
Zr  0.000  0.500  0.000
Tl  0.500  0.000  0.000
Zr  0.000  0.000  0.500

Values from the calculation:
Energy relative to the elements: -0.074 eV/atom


Entry from Alexandria: an optimized crystal structure of Ho12Zr3Tl5 (PBE).

Cell lengths 15.490, 15.490, 15.490 Å; angles 109.47, 109.47, 109.47 degrees
Site moments in Bohr magnetons follow the coordinates.
Fractional positions:
Zr  0.625  0.250  0.375  0.47
Ho  0.633  0.569  0.905  0.11
Ho  0.095  0.164  0.228  0.11
Tl  0.250  0.375  0.625  -0.01
Zr  0.125  0.875  0.750  0.47
Ho  0.569  0.633  0.405  0.11
Ho  0.728  0.595  0.164  0.11
Ho  0.772  0.436  0.367  0.11
Ho  0.133  0.405  0.069  0.11
Ho  0.728  0.133  0.064  0.11
Ho  0.564  0.336  0.931  0.11
Ho  0.272  0.867  0.936  0.11
Tl  0.125  0.750  0.375  -0.01
Ho  0.064  0.431  0.836  0.11
Ho  0.069  0.164  0.436  0.11
Ho  0.064  0.633  0.728  0.11
Ho  0.367  0.431  0.095  0.11
Tl  0.500  0.000  0.500  0.00
Ho  0.905  0.836  0.772  0.11
Tl  0.000  0.000  0.000  0.00
Ho  0.436  0.772  0.867  0.11
Tl  0.750  0.625  0.375  -0.01
Tl  0.500  0.000  0.000  0.00
Ho  0.867  0.272  0.436  0.11
Tl  0.000  0.500  0.000  0.00
Ho  0.272  0.405  0.836  0.11
Ho  0.936  0.569  0.164  0.11
Ho  0.164  0.095  0.728  0.11
Tl  0.250  0.875  0.125  -0.01
Ho  0.564  0.228  0.133  0.11
Ho  0.431  0.064  0.336  0.11
Zr  0.750  0.375  0.125  0.47
Ho  0.664  0.436  0.569  0.11
Tl  0.375  0.125  0.750  -0.01
Tl  0.750  0.125  0.875  -0.01
Zr  0.250  0.625  0.875  0.47
Ho  0.436  0.664  0.069  0.11
Tl  0.500  0.500  0.000  0.00
Ho  0.936  0.367  0.272  0.11
Ho  0.595  0.728  0.664  0.11
Zr  0.375  0.750  0.625  0.47
Ho  0.336  0.772  0.405  0.11
Ho  0.095  0.931  0.367  0.11
Zr  0.250  0.125  0.375  0.47
Ho  0.836  0.905  0.272  0.11
Ho  0.633  0.064  0.228  0.11
Ho  0.931  0.836  0.564  0.11
Ho  0.931  0.095  0.867  0.11
Ho  0.069  0.905  0.133  0.11
Zr  0.125  0.250  0.875  0.47
Ho  0.133  0.728  0.564  0.11
Tl  0.625  0.875  0.250  -0.01
Ho  0.405  0.133  0.569  0.11
Ho  0.336  0.564  0.431  0.11
Ho  0.905  0.069  0.633  0.11
Ho  0.367  0.936  0.772  0.11
Ho  0.228  0.664  0.095  0.11
Ho  0.836  0.931  0.064  0.11
Zr  0.875  0.125  0.250  0.47
Ho  0.164  0.069  0.936  0.11
Tl  0.375  0.250  0.125  -0.01
Ho  0.405  0.272  0.336  0.11
Zr  0.375  0.625  0.250  0.47
Ho  0.431  0.367  0.595  0.11
Zr  0.875  0.750  0.125  0.47
Tl  0.875  0.625  0.750  -0.01
Ho  0.664  0.228  0.595  0.11
Ho  0.228  0.564  0.633  0.11
Ho  0.569  0.936  0.664  0.11
Tl  0.500  0.500  0.500  0.00
Tl  0.000  0.500  0.500  0.00
Tl  0.125  0.375  0.250  -0.01
Zr  0.750  0.875  0.625  0.47
Ho  0.595  0.867  0.431  0.11
Tl  0.000  0.000  0.500  0.00
Ho  0.772  0.336  0.905  0.11
Tl  0.875  0.250  0.625  -0.01
Ho  0.867  0.595  0.931  0.11
Tl  0.625  0.750  0.875  -0.01
Zr  0.625  0.375  0.750  0.47

Values from the calculation:
Energy relative to the elements: 0.544 eV/atom